1.
A relaxed structure of Tm2NiGe. Source: Alexandria, functional GGA-PBE.

Mass density (g/cm³): 9.34
DOS at the Fermi energy (states/eV/atom): 0.25
ΔH_f (0 K) (eV/atom): -0.71
Electronic total energy (eV per atom): -5.542

Structure (CIF):
```
data_Tm2NiGe
_chemical_formula_sum 'Tm4 Ni2 Ge2'
_cell_length_a 5.712
_cell_length_b 4.099
_cell_length_c 7.600
_cell_angle_alpha 90.00
_cell_angle_beta 110.43
_cell_angle_gamma 90.00
_space_group_name_H-M_alt 'P 1 21/m 1'
_space_group_IT_number 11
loop_
_space_group_symop_operation_xyz
'x,y,z'
'-x,-y,-z'
'-x,y+1/2,-z'
'x,-y+1/2,z'
loop_
_atom_site_label
_atom_site_type_symbol
_atom_site_fract_x
_atom_site_fract_y
_atom_site_fract_z
Tm1 Tm 0.216 0.250 0.444
Tm2 Tm 0.224 0.250 0.911
Ni1 Ni 0.364 0.750 0.715
Ge1 Ge 0.335 0.750 0.209
```



2.
A relaxed structure of TmNiGe. Source: Alexandria, functional GGA-PBE.

Mass density (g/cm³): 9.40
DOS at the Fermi energy (states/eV/atom): 0.49
ΔH_f (0 K) (eV/atom): -0.77
Electronic total energy (eV per atom): -5.724

Structure (CIF):
```
data_TmNiGe
_chemical_formula_sum 'Tm1 Ni1 Ge1'
_cell_length_a 4.1935
_cell_length_b 4.1935
_cell_length_c 3.4821
_cell_angle_alpha 90.00
_cell_angle_beta 90.00
_cell_angle_gamma 120.00
_space_group_name_H-M_alt 'P -6 m 2'
_space_group_IT_number 187
_space_group_name_Hall 'P -6 2'
loop_
_atom_site_label
_atom_site_type_symbol
_atom_site_fract_x
_atom_site_fract_y
_atom_site_fract_z
Tm1 Tm 0.0000 0.0000 0.0000
Ni1 Ni 0.3333 0.6667 0.5000
Ge1 Ge 0.6667 0.3333 0.5000
```